Material: SiO2
Method: DFT, PBE
State: relaxed

a b c (Å): 4.950 15.400 20.794
angles (deg): 90.00 90.00 90.00
Space group Fddd (No. 70, origin choice 2)
Symmetry-distinct sites (fractional):
Si1 0.116 0.311 0.193
O1 0.000 0.000 0.000
O2 0.125 0.125 0.325
O3 0.125 0.125 0.462
O4 0.125 0.253 0.125

## Properties
Crystal system: orthorhombic
ΔE_f (raw), meV/atom: -2624

=====

Material: SiO2
Method: DFT, PBE
State: relaxed

a b c (Å): 4.682 4.685 8.324
angles (deg): 90.00 113.22 90.00
Space group P2/c (No. 13)
Symmetry-distinct sites (fractional):
Si1 0.236 0.226 0.444
O1 0.000 0.000 0.000
O2 0.000 0.330 0.250
O3 0.500 0.000 0.000
O4 0.500 0.500 0.000

## Properties
Crystal system: monoclinic
ΔE_f (raw), meV/atom: -2104

=====

Material: Si4O
Method: DFT, PBE
State: relaxed

a b c (Å): 4.178 4.178 4.178
angles (deg): 90.00 90.00 90.00
Space group Pm-3m (No. 221)
Symmetry-distinct sites (fractional):
Si1 0.000 0.000 0.000
Si2 0.000 0.500 0.500
O1 0.500 0.500 0.500

## Properties
Crystal system: cubic
ΔE_f (raw), meV/atom: 352

=====

Material: SiO2
Method: DFT, PBE
State: relaxed

a b c (Å): 4.935 5.652 5.433
angles (deg): 90.00 109.01 90.00
Space group Pm (No. 6)
Symmetry-distinct sites (fractional):
Si1 0.000 0.000 0.000
Si2 0.015 0.500 0.029
Si3 0.533 0.000 0.511
Si4 0.590 0.500 0.317
O1 0.088 0.255 0.899
O2 0.188 0.000 0.322
O3 0.256 0.500 0.315
O4 0.642 0.000 0.838
O5 0.688 0.237 0.440
O6 0.696 0.500 0.057

## Properties
Crystal system: monoclinic
ΔE_f (raw), meV/atom: -2504

=====

Material: Si3O7
Method: DFT, PBE
State: relaxed

a b c (Å): 6.913 7.246 7.257
angles (deg): 104.52 98.12 101.37
Space group P1 (No. 1)
Symmetry-distinct sites (fractional):
Si1 0.000 0.000 0.000
Si2 0.020 0.032 0.583
Si3 0.212 0.810 0.267
Si4 0.340 0.407 0.162
Si5 0.422 0.371 0.748
Si6 0.617 0.144 0.447
O1 0.079 0.826 0.070
O2 0.094 0.858 0.445
O3 0.172 0.203 0.108
O4 0.191 0.237 0.657
O5 0.236 0.587 0.226
O6 0.431 0.963 0.321
O7 0.458 0.417 0.985
O8 0.461 0.583 0.701
O9 0.506 0.435 0.368
O10 0.576 0.241 0.662
O11 0.656 0.319 0.332
O12 0.776 0.010 0.050
O13 0.822 0.069 0.462
O14 0.963 0.956 0.766

## Properties
Crystal system: triclinic
ΔE_f (raw), meV/atom: -2242

=====

Material: SiO2
Method: DFT, PBE
State: relaxed

a b c (Å): 7.208 7.208 8.825
angles (deg): 90.00 90.00 90.00
Space group P4_2/mmc (No. 131)
Symmetry-distinct sites (fractional):
Si1 0.000 0.284 0.183
O1 0.000 0.264 0.000
O2 0.000 0.500 0.233
O3 0.186 0.186 0.250

## Properties
Crystal system: tetragonal
ΔE_f (raw), meV/atom: -2788

=====

Material: SiO2
Method: DFT, PBE
State: relaxed

a b c (Å): 13.168 13.168 5.284
angles (deg): 90.00 90.00 90.00
Space group I4/mmm (No. 139)
Symmetry-distinct sites (fractional):
Si1 0.119 0.289 0.000
O1 0.000 0.258 0.000
O2 0.144 0.356 0.250
O3 0.185 0.185 0.000

## Properties
Crystal system: tetragonal
ΔE_f (raw), meV/atom: -2793

=====

Material: SiO2
Method: DFT, PBE
State: relaxed

a b c (Å): 8.746 9.835 3.884
angles (deg): 90.00 90.00 90.00
Space group Pban (No. 50, origin choice 2)
Symmetry-distinct sites (fractional):
Si1 0.076 0.142 0.154
O1 0.000 0.000 0.000
O2 0.050 0.750 0.000
O3 0.106 0.250 0.500
O4 0.250 0.115 0.000

## Properties
Crystal system: orthorhombic
ΔE_f (raw), meV/atom: -2015

=====

Material: SiO2
Method: DFT, PBE
State: relaxed

a b c (Å): 4.232 4.232 2.694
angles (deg): 90.00 90.00 90.00
Space group P4_2/mnm (No. 136)
Symmetry-distinct sites (fractional):
Si1 0.000 0.000 0.000
O1 0.193 0.193 0.500

## Properties
Crystal system: tetragonal
ΔE_f (raw), meV/atom: -2605

=====

Material: SiO2
Method: DFT, PBE
State: relaxed

a b c (Å): 4.592 4.592 15.605
angles (deg): 90.00 90.00 90.00
Space group P4_322 (No. 95)
Symmetry-distinct sites (fractional):
Si1 0.000 0.441 0.153
O1 0.120 0.500 0.750
O2 0.179 0.223 0.364
O3 0.298 0.298 0.125

## Properties
Crystal system: tetragonal
ΔE_f (raw), meV/atom: -2132

=====

Material: SiO2
Method: DFT, PBE
State: relaxed

a b c (Å): 5.054 8.417 5.113
angles (deg): 90.00 119.51 90.00
Space group P2_1 (No. 4)
Symmetry-distinct sites (fractional):
Si1 0.097 0.000 0.332
Si2 0.232 0.375 0.326
O1 0.025 0.476 0.431
O2 0.157 0.187 0.315
O3 0.159 0.436 0.996
O4 0.409 0.900 0.438

## Properties
Crystal system: monoclinic
ΔE_f (raw), meV/atom: -2798

=====

Material: SiO4
Method: DFT, PBE
State: relaxed

a b c (Å): 5.244 5.361 8.761
angles (deg): 94.33 98.15 118.76
Space group P1 (No. 1)
Symmetry-distinct sites (fractional):
Si1 0.000 0.000 0.000
Si2 0.282 0.914 0.452
Si3 0.655 0.610 0.564
O1 0.015 0.967 0.191
O2 0.201 0.849 0.254
O3 0.280 0.281 0.962
O4 0.455 0.734 0.478
O5 0.462 0.868 0.010
O6 0.474 0.479 0.152
O7 0.491 0.259 0.519
O8 0.642 0.400 0.215
O9 0.655 0.708 0.749
O10 0.718 0.087 0.987
O11 0.888 0.705 0.867
O12 0.986 0.772 0.526

## Properties
Relative energy among the computed polymorphs, meV/atom: 92
Crystal system: triclinic
ΔE_f (raw), meV/atom: -1206

=====

Material: SiO2
Method: DFT, PBE
State: relaxed

a b c (Å): 3.524 3.524 8.531
angles (deg): 90.00 90.00 90.00
Space group I4_1/amd (No. 141, origin choice 2)
Symmetry-distinct sites (fractional):
Si1 0.000 0.250 0.375
O1 0.000 0.250 0.167

## Properties
Crystal system: tetragonal
ΔE_f (raw), meV/atom: -2559

=====

Material: SiO2
Method: DFT, PBE
State: relaxed

a b c (Å): 8.0399 8.0399 7.9026
angles (deg): 90.00 90.00 120.00
Space group R32 (No. 155, hexagonal axes)
Symmetry-distinct sites (fractional):
Si1 0.0000 0.2148 0.0000
O1 0.0000 0.3343 0.5000
O2 0.0000 0.8094 0.0000

## Properties
Crystal system: trigonal
ΔE_f (raw), meV/atom: -2771

=====

Material: SiO2
Method: DFT, PBE
State: relaxed

a b c (Å): 8.842 8.842 5.084
angles (deg): 90.00 90.00 90.00
Space group I-4 (No. 82)
Symmetry-distinct sites (fractional):
Si1 0.176 0.323 0.266
O1 0.003 0.705 0.326
O2 0.210 0.770 0.966

## Properties
Crystal system: tetragonal
ΔE_f (raw), meV/atom: -2797

=====

Material: SiO2
Method: DFT, PBE
State: relaxed

a b c (Å): 7.260 12.533 7.240
angles (deg): 90.00 119.95 90.00
Space group C2/c (No. 15)
Symmetry-distinct sites (fractional):
Si1 0.181 0.142 0.073
Si2 0.217 0.409 0.461
O1 0.000 0.370 0.250
O2 0.077 0.130 0.555
O3 0.218 0.461 0.982
O4 0.229 0.355 0.671
O5 0.250 0.250 0.000

## Properties
Crystal system: monoclinic
ΔE_f (raw), meV/atom: -2761

=====

Material: SiO2
Method: DFT, PBE
State: relaxed

a b c (Å): 8.418 8.898 5.067
angles (deg): 90.00 90.00 90.00
Space group Ama2 (No. 40)
Symmetry-distinct sites (fractional):
Si1 0.063 0.165 0.000
O1 0.000 0.000 0.909
O2 0.037 0.282 0.758
O3 0.250 0.159 0.075

## Properties
Crystal system: orthorhombic
ΔE_f (raw), meV/atom: -2800

=====

Material: SiO2
Method: DFT, PBE
State: relaxed

a b c (Å): 12.744 5.058 4.642
angles (deg): 90.00 101.11 90.00
Space group C2/c (No. 15)
Symmetry-distinct sites (fractional):
Si1 0.000 0.142 0.250
Si2 0.163 0.355 0.830
O1 0.075 0.123 0.961
O2 0.091 0.373 0.461
O3 0.241 0.398 0.181

## Properties
Crystal system: monoclinic
ΔE_f (raw), meV/atom: -2543